SiBr2 after structural relaxation. Source: Alexandria, functional PBE.

The value obtained for the magnetic moment is 0.0 μB per formula unit. The calculation puts the raw formation energy at -0.2818 eV per atom. The calculated volume is 120 Å³ per cell.

It has space group P1 (No. 1), with a = 3.790 Å, b = 5.181 Å, c = 6.700 Å, α = 78.75°, β = 89.22° and γ = 68.54°. The inequivalent atoms are Si at (0.000, 0.000, 0.000), Br at (0.204, 0.581, 0.234) and Br at (0.564, 0.882, 0.767).

=====

InAgB2Se after structural relaxation. Source: Alexandria, functional PBE.

The value obtained for the magnetic moment is 0.0 μB per formula unit. The calculation puts the raw formation energy at 1.6390 eV per atom. The calculated volume is 104 Å³ per cell.

It has space group P4/mmm (No. 123), with a = 4.379 Å, b = 4.379 Å, c = 5.426 Å, α = 90.00°, β = 90.00° and γ = 90.00°. The inequivalent atoms are In at (0.000, 0.000, 0.000), Ag at (0.000, 0.000, 0.500), B at (0.000, 0.500, 0.000) and Se at (0.500, 0.500, 0.500).

=====

PmHfTe4 after structural relaxation. Source: Alexandria, functional PBE.

The value obtained for the magnetic moment is 0.0 μB per formula unit. The calculation puts the raw formation energy at -0.7632 eV per atom. The calculated volume is 985 Å³ per cell.

It has space group C2/m (No. 12), with a = 18.353 Å, b = 5.956 Å, c = 9.382 Å, α = 90.00°, β = 106.11° and γ = 90.00°. The inequivalent atoms are Pm at (0.220, 0.000, 0.312), Hf at (0.103, 0.000, 0.682), Te at (0.058, 0.000, 0.362), Te at (0.107, 0.500, 0.689), Te at (0.134, 0.000, 0.984) and Te at (0.239, 0.500, 0.327).

=====

CdTcAs2 after structural relaxation. Source: Alexandria, functional PBE.

Its final energy is -4.728 eV/atom. The value obtained for the magnetic moment is 1.0 μB per formula unit. The calculated volume is 71 Å³ per cell.

It has space group P4/mmm (No. 123), with a = 4.547 Å, b = 4.547 Å, c = 3.414 Å, α = 90.00°, β = 90.00° and γ = 90.00°. The inequivalent atoms are Cd at (0.000, 0.000, 0.000), Tc at (0.500, 0.500, 0.000) and As at (0.000, 0.500, 0.500).

=====

LiLaNi after structural relaxation. Source: Alexandria, functional PBE.

The excess energy over the best structure of this formula in the dataset comes out at 130 meV per atom. The value obtained for the magnetic moment is 0.0 μB per formula unit. The calculated volume is 63 Å³ per cell.

It has space group P3m1 (No. 156), with a = 4.3125 Å, b = 4.3125 Å, c = 3.8933 Å, α = 90.00°, β = 90.00° and γ = 120.00°. The inequivalent atoms are Li at (0.0000, 0.0000, 0.0000), La at (0.3333, 0.6667, 0.5004) and Ni at (0.6667, 0.3333, 0.0018).

=====

Sc2VN2 after structural relaxation. Source: Alexandria, functional PBE.

The value obtained for the magnetic moment is 0.5 μB per formula unit. The calculation puts the raw formation energy at 0.0003 eV per atom. The calculated volume is 122 Å³ per cell.

It has space group P4/mbm (No. 127), with a = 6.497 Å, b = 6.497 Å, c = 2.884 Å, α = 90.00°, β = 90.00° and γ = 90.00°. The inequivalent atoms are Sc at (0.148, 0.352, 0.000), V at (0.000, 0.000, 0.000) and N at (0.171, 0.671, 0.500).

=====

Number 1: density of states at the Fermi level 0.0 states/eV/f.u.. Number 2: density of states at the Fermi level 2.6 states/eV/f.u.. Number 3: density of states at the Fermi level 3.8 states/eV/f.u.. Number 4: density of states at the Fermi level 2.8 states/eV/f.u.. Number 5: density of states at the Fermi level 1.6 states/eV/f.u.. Number 6: density of states at the Fermi level 4.0 states/eV/f.u..